[1]
Nb2AgSb: optimized geometry, PBE.

Results
The calculation puts the total energy at -6.356 eV per atom. Its density of states at the Fermi level is 0.6 states/eV/f.u. The value obtained for the uncorrected formation energy is 423 meV per atom.

Cell: 7.5874 7.5874 5.7154 Å, 90.00 90.00 90.00°
Space group I-42d (No. 122)
One atom of each set of equivalent atoms:
Nb (0.2455, 0.7500, 0.1250) [8 per cell]
Ag (0.0000, 0.0000, 0.5000) [4 per cell]
Sb (0.0000, 0.0000, 0.0000) [4 per cell]


[2]
NbAg2Sb: optimized geometry, PBE.

Results
The calculation puts the total energy at -4.556 eV per atom. Its density of states at the Fermi level is 1.7 states/eV/f.u. The value obtained for the uncorrected formation energy is 418 meV per atom.

Cell: 7.7640 7.7640 5.5643 Å, 90.00 90.00 90.00°
Space group I-42d (No. 122)
One atom of each set of equivalent atoms:
Nb (0.0000, 0.0000, 0.0000) [4 per cell]
Ag (0.2442, 0.2500, 0.6250) [8 per cell]
Sb (0.0000, 0.0000, 0.5000) [4 per cell]


[3]
Nb2AgSb2: optimized geometry, PBE.

Results
The calculation puts the total energy at -6.269 eV per atom. For the excess energy over the best structure of this formula in the dataset, the calculation gives 0 kJ/mol of formula units. Its density of states at the Fermi level is 4.7 states/eV/f.u. The value obtained for the uncorrected formation energy is -22 meV per atom.

Cell: 7.6218 7.6218 3.6246 Å, 90.00 90.00 90.00°
Space group P4/mbm (No. 127)
One atom of each set of equivalent atoms:
Nb (0.1373, 0.3627, 0.0000) [4 per cell]
Ag (0.0000, 0.0000, 0.0000) [2 per cell]
Sb (0.1557, 0.6557, 0.5000) [4 per cell]


[4]
NbAg2Sb2: optimized geometry, PBE.

Results
The calculation puts the total energy at -4.551 eV per atom. Its density of states at the Fermi level is 3.3 states/eV/f.u. The value obtained for the uncorrected formation energy is 252 meV per atom.

Cell: 7.4765 7.4765 3.9132 Å, 90.00 90.00 90.00°
Space group P4/mbm (No. 127)
One atom of each set of equivalent atoms:
Nb (0.0000, 0.0000, 0.0000) [2 per cell]
Ag (0.1418, 0.3582, 0.5000) [4 per cell]
Sb (0.1615, 0.6615, 0.0000) [4 per cell]


[5]
Nb2AgSbSe: optimized geometry, PBE.

Results
The calculation puts the total energy at -5.234 eV per atom. Its density of states at the Fermi level is 3.2 states/eV/f.u. The value obtained for the uncorrected formation energy is 886 meV per atom.

Cell: 4.7711 4.7711 5.4522 Å, 90.00 90.00 90.00°
Space group P4/mmm (No. 123)
One atom of each set of equivalent atoms:
Nb (0.0000, 0.5000, 0.0000) [2 per cell]
Ag (0.0000, 0.0000, 0.5000) [1 per cell]
Sb (0.5000, 0.5000, 0.5000) [1 per cell]
Se (0.5000, 0.5000, 0.0000) [1 per cell]


[6]
NbAgSb2Te: optimized geometry, PBE.

Results
The calculation puts the total energy at -4.411 eV per atom. For the excess energy over the best structure of this formula in the dataset, the calculation gives 0 kJ/mol of formula units. Its density of states at the Fermi level is 4.9 states/eV/f.u. The value obtained for the uncorrected formation energy is 451 meV per atom.

Cell: 5.3938 5.3938 5.3582 Å, 90.00 90.00 90.00°
Space group P4/mmm (No. 123)
One atom of each set of equivalent atoms:
Nb (0.0000, 0.0000, 0.0000) [1 per cell]
Ag (0.5000, 0.5000, 0.5000) [1 per cell]
Sb (0.0000, 0.5000, 0.0000) [2 per cell]
Te (0.0000, 0.0000, 0.5000) [1 per cell]


[7]
NbAgSbTe2: optimized geometry, PBE.

Results
The calculation puts the total energy at -4.278 eV per atom. For the excess energy over the best structure of this formula in the dataset, the calculation gives 0 kJ/mol of formula units. Its density of states at the Fermi level is 3.5 states/eV/f.u. The value obtained for the uncorrected formation energy is 388 meV per atom.

Cell: 5.3930 5.3930 5.4445 Å, 90.00 90.00 90.00°
Space group P4/mmm (No. 123)
One atom of each set of equivalent atoms:
Nb (0.0000, 0.0000, 0.0000) [1 per cell]
Ag (0.5000, 0.5000, 0.5000) [1 per cell]
Sb (0.0000, 0.0000, 0.5000) [1 per cell]
Te (0.0000, 0.5000, 0.0000) [2 per cell]


[8]
Sc2NbAg2: optimized geometry, PBE.

Results
The calculation puts the total energy at -5.616 eV per atom. For the excess energy over the best structure of this formula in the dataset, the calculation gives 0 kJ/mol of formula units. Its energy of formation is 0.0715 eV per atom. Its density of states at the Fermi level is 5.3 states/eV/f.u.

Cell: 8.0012 8.0012 3.1287 Å, 90.00 90.00 90.00°
Space group P4/mbm (No. 127)
One atom of each set of equivalent atoms:
Sc (0.1748, 0.3252, 0.0000) [4 per cell]
Nb (0.0000, 0.0000, 0.5000) [2 per cell]
Ag (0.1245, 0.6245, 0.5000) [4 per cell]


[9]
ScNb3Ag: optimized geometry, PBE.

Results
The calculation puts the total energy at -6.241 eV per atom. For the excess energy over the best structure of this formula in the dataset, the calculation gives 43 kJ/mol of formula units. Its energy of formation is 1.6376 eV per atom. Its density of states at the Fermi level is 7.9 states/eV/f.u.

Cell: 4.7571 4.7571 4.7571 Å, 90.00 90.00 90.00°
Space group Pm-3m (No. 221)
One atom of each set of equivalent atoms:
Sc (0.0000, 0.0000, 0.0000) [1 per cell]
Nb (0.0000, 0.0000, 0.5000) [3 per cell]
Ag (0.5000, 0.5000, 0.5000) [1 per cell]


[10]
Sc2NbAg: optimized geometry, PBE.

Results
The calculation puts the total energy at -6.470 eV per atom. For the excess energy over the best structure of this formula in the dataset, the calculation gives 0 kJ/mol of formula units. Its energy of formation is -0.0740 eV per atom. Its density of states at the Fermi level is 5.1 states/eV/f.u.

Cell: 3.1306 3.1306 8.2772 Å, 90.00 90.00 90.00°
Space group P4/mmm (No. 123)
One atom of each set of equivalent atoms:
Sc (0.0000, 0.0000, 0.2454) [2 per cell]
Nb (0.5000, 0.5000, 0.5000) [1 per cell]
Ag (0.5000, 0.5000, 0.0000) [1 per cell]


[11]
Sc2NbAg: optimized geometry, PBE.

Results
The calculation puts the total energy at -6.274 eV per atom. For the excess energy over the best structure of this formula in the dataset, the calculation gives 76 kJ/mol of formula units. Its energy of formation is 0.1224 eV per atom. Its density of states at the Fermi level is 5.0 states/eV/f.u.

Cell: 6.8791 6.8791 6.8791 Å, 90.00 90.00 90.00°
Space group Fm-3m (No. 225)
One atom of each set of equivalent atoms:
Sc (0.2500, 0.2500, 0.2500) [8 per cell]
Nb (0.0000, 0.0000, 0.0000) [4 per cell]
Ag (0.0000, 0.0000, 0.5000) [4 per cell]


[12]
Sc2NbAg: optimized geometry, PBE.

Results
The calculation puts the total energy at -6.054 eV per atom. For the excess energy over the best structure of this formula in the dataset, the calculation gives 161 kJ/mol of formula units. Its energy of formation is 0.3424 eV per atom. Its density of states at the Fermi level is 5.9 states/eV/f.u.

Cell: 3.0132 3.0132 31.7936 Å, 90.00 90.00 120.00°
Space group R-3m (No. 166, hexagonal axes)
One atom of each set of equivalent atoms:
Sc (0.0000, 0.0000, 0.0882) [6 per cell]
Nb (0.0000, 0.0000, 0.0000) [3 per cell]
Ag (0.0000, 0.0000, 0.5000) [3 per cell]